A geometry-optimized AlIr3 structure. Source: Alexandria via LeMat-Bulk, functional PBE.

Computed properties:
Calculated formation energy (kJ/mol of atoms): -30.01
Total moment (μB per formula unit): 0.00

```
data_AlIr3
_cell_length_a 2.778
_cell_length_b 3.794
_cell_length_c 5.466
_cell_angle_alpha 90.00
_cell_angle_beta 90.00
_cell_angle_gamma 90.00
_space_group_name_H-M_alt 'P m m m'
_space_group_IT_number 47
_space_group_name_Hall '-P 2 2'
loop_
_atom_site_label
_atom_site_fract_x
_atom_site_fract_y
_atom_site_fract_z
Al1 0.000 0.000 0.000
Ir1 0.000 0.000 0.500
Ir2 0.500 0.500 0.248
```